No. 1
First-principles (meta-GGA SCAN) data for Co2SiNi at its PBEsol-relaxed geometry, as listed in Alexandria.

The value obtained for the raw formation energy is -0.130 eV per atom.

Lattice parameters (Å, degrees): 2.5408 3.2578 4.9796 90.00 90.00 90.00
Closest atoms and distances in Å follow each position.
Atoms (fractional coordinates):
Co1 0.0000 0.0000 0.2444  4 Si 2.40, 4 Ni 2.43, 4 Co 2.43-2.55
Co2 0.0000 0.0000 0.7556  4 Si 2.40, 4 Ni 2.43, 4 Co 2.43-2.55
Si1 0.5000 0.5000 0.0000  8 Co 2.40, 2 Ni 2.49, 2 Si 2.54
Ni1 0.5000 0.5000 0.5000  8 Co 2.43, 2 Si 2.49, 2 Ni 2.54

No. 2
First-principles (meta-GGA SCAN) data for AlSb at its PBEsol-relaxed geometry, as listed in Alexandria.

The value obtained for the raw formation energy is -0.206 eV per atom.

Lattice parameters (Å, degrees): 4.3616 4.3616 4.3616 60.00 60.00 60.00
Closest atoms and distances in Å follow each position.
Atoms (fractional coordinates):
Al1 0.0000 0.0000 0.0000  4 Sb 2.67
Sb1 0.2500 0.2500 0.2500  4 Al 2.67

No. 3
First-principles (meta-GGA SCAN) data for Te2PBr at its PBEsol-relaxed geometry, as listed in Alexandria.

As for the energy above the most stable polymorph in this dataset: 218 meV per atom. The value obtained for the raw formation energy is 0.299 eV per atom.

Lattice parameters (Å, degrees): 3.8514 3.5880 8.0111 90.00 94.05 90.00
Closest atoms and distances in Å follow each position.
Atoms (fractional coordinates):
Te1 0.2023 0.0000 0.2199  2 P 2.60
Te2 0.7977 0.0000 0.7801  2 P 2.60
P1 0.0000 0.5000 0.0000  4 Te 2.60
Br1 0.5000 0.5000 0.5000  4 Te 3.03

No. 4
First-principles (meta-GGA SCAN) data for MgTlIn2 at its PBEsol-relaxed geometry, as listed in Alexandria.

The energy relative to the elements comes out at -0.02 eV per atom.

Lattice parameters (Å, degrees): 3.3338 3.3338 8.9391 90.00 90.00 90.00
Closest atoms and distances in Å follow each position.
Atoms (fractional coordinates):
Mg1 0.0000 0.0000 0.0000  4 In 3.13, 4 Tl 3.19, 4 Mg 3.33
Tl1 0.5000 0.5000 0.7593  4 Mg 3.19, 4 Tl 3.33, 4 In 3.38
In1 0.0000 0.0000 0.4877  8 In 3.29-3.33, 4 Tl 3.38
In2 0.5000 0.5000 0.2302  4 Mg 3.13, 8 In 3.29-3.33

No. 5
First-principles (meta-GGA SCAN) data for CsLi3Tl at its PBEsol-relaxed geometry, as listed in Alexandria.

The energy relative to the elements comes out at -0.09 eV per atom.

Lattice parameters (Å, degrees): 5.4956 5.4956 5.4956 90.00 90.00 90.00
Closest atoms and distances in Å follow each position.
Atoms (fractional coordinates):
Cs1 0.0000 0.0000 0.0000  12 Li 3.89
Li1 0.0000 0.5000 0.5000  2 Tl 2.75
Li2 0.5000 0.0000 0.5000  2 Tl 2.75
Li3 0.5000 0.5000 0.0000  2 Tl 2.75
Tl1 0.5000 0.5000 0.5000  6 Li 2.75

No. 6
First-principles (meta-GGA SCAN) data for CsSi2Rh2 at its PBEsol-relaxed geometry, as listed in Alexandria.

The value obtained for the raw formation energy is -0.350 eV per atom.

Lattice parameters (Å, degrees): 7.8280 7.8280 7.8280 151.29 151.29 41.05
Closest atoms and distances in Å follow each position.
Atoms (fractional coordinates):
Cs1 0.0000 0.0000 0.0000  8 Rh 3.62, 4 Cs 3.88
Si1 0.2500 0.7500 0.5000  4 Rh 2.34
Si2 0.7500 0.2500 0.5000  4 Rh 2.34
Rh1 0.3388 0.3388 0.0000  4 Si 2.34
Rh2 0.6612 0.6612 0.0000  4 Si 2.34